[1]
LuPaRh2: optimized geometry, PBE-GGA.

The structure in POSCAR format:
```
LuPaRh2
1.0
0.000 3.420 3.420
3.420 0.000 3.420
3.420 3.420 0.000
Lu Pa Rh
1 1 2
Direct
0.000 0.000 0.000
0.500 0.500 0.500
0.250 0.250 0.250
0.750 0.750 0.750
```

Computed properties:
**ΔE_f**: -0.744 eV per atom
**D(E_F)**: 5.9 states/eV/cell
**ΔE to the lowest computed polymorph**: 0.211 eV per formula unit
**Space-group type**: Fm-3m, No. 225

***

[2]
LuPaRh: optimized geometry, PBE-GGA.

The structure in POSCAR format:
```
LuPaRh
1.0
0.000 3.359 3.359
3.359 0.000 3.359
3.359 3.359 0.000
Lu Pa Rh
1 1 1
Direct
0.000 0.000 0.000
0.500 0.500 0.500
0.750 0.750 0.750
```

Computed properties:
**ΔE_f**: -0.241 eV per atom
**D(E_F)**: 5.8 states/eV/cell
**ΔE to the lowest computed polymorph**: 0.676 eV per formula unit
**Space-group type**: F-43m, No. 216

***

[3]
LuPaRh: optimized geometry, PBE-GGA.

The structure in POSCAR format:
```
LuPaRh
1.0
-1.759 1.759 5.478
1.759 -1.759 5.478
1.759 1.759 -5.478
Lu Pa Rh
1 1 1
Direct
0.000 0.000 0.000
0.704 0.704 0.000
0.324 0.324 0.000
```

Computed properties:
**ΔE_f**: -0.467 eV per atom
**D(E_F)**: 3.9 states/eV/cell
**ΔE to the lowest computed polymorph**: 0.000 eV per formula unit
**Space-group type**: I4mm, No. 107

***

[4]
LuPaRh2: optimized geometry, PBE-GGA.

The structure in POSCAR format:
```
LuPaRh2
1.0
1.940 1.120 6.679
-1.940 1.120 6.679
0.000 -2.240 6.679
Lu Pa Rh
1 1 2
Direct
0.000 0.000 0.000
0.500 0.500 0.500
0.246 0.246 0.246
0.754 0.754 0.754
```

Computed properties:
**ΔE_f**: -0.796 eV per atom
**D(E_F)**: 3.0 states/eV/cell
**ΔE to the lowest computed polymorph**: 0.000 eV per formula unit
**Space-group type**: R-3m, No. 166

***

[5]
LuPaRuRh: optimized geometry, PBE-GGA.

The structure in POSCAR format:
```
LuPaRuRh
1.0
0.000 3.405 3.405
3.405 0.000 3.405
3.405 3.405 0.000
Lu Pa Ru Rh
1 1 1 1
Direct
0.000 0.000 0.000
0.500 0.500 0.500
0.750 0.750 0.750
0.250 0.250 0.250
```

Computed properties:
**ΔE_f**: -0.611 eV per atom
**D(E_F)**: 4.9 states/eV/cell
**Space-group type**: F-43m, No. 216

***

[6]
LuPaZnRh: optimized geometry, PBE-GGA.

The structure in POSCAR format:
```
LuPaZnRh
1.0
0.000 3.466 3.466
3.466 0.000 3.466
3.466 3.466 0.000
Lu Pa Zn Rh
1 1 1 1
Direct
0.000 0.000 0.000
0.500 0.500 0.500
0.750 0.750 0.750
0.250 0.250 0.250
```

Computed properties:
**ΔE_f**: -0.379 eV per atom
**D(E_F)**: 5.9 states/eV/cell
**Space-group type**: F-43m, No. 216